No. 1
## GaSi2Sn (SCAN)

Data for a PBEsol-optimized structure of GaSi2Sn.

Results
- total magnetic moment (Bohr magnetons per cell) = 0.000
- volume (A^3/atom) = 24.051
- symmetry = No. 122
- formation energy without anion corrections (eV/atom) = 0.266

abc: 5.7638 5.7638 7.0820
angles: 114.01 114.01 90.00
Fractional coordinates of all 8 atoms:
Si: 0.4020 0.8750 0.2500
Si: 0.8480 0.3750 0.2500
Si: 0.1250 0.1520 0.7500
Si: 0.6250 0.5980 0.7500
Sn: 0.2500 0.7500 0.5000
Sn: 0.0000 0.0000 0.0000
Ga: 0.7500 0.2500 0.5000
Ga: 0.5000 0.5000 0.0000

No. 2
## GaSi2Tc2 (SCAN)

Data for a PBEsol-optimized structure of GaSi2Tc2.

Results
- total magnetic moment (Bohr magnetons per cell) = 0.000
- volume (A^3/atom) = 14.189
- symmetry = No. 139
- formation energy without anion corrections (eV/atom) = -0.322

abc: 3.3496 3.3496 6.7519
angles: 104.36 104.36 90.00
Fractional coordinates of all 5 atoms:
Si: 0.2500 0.7500 0.5000
Si: 0.7500 0.2500 0.5000
Tc: 0.3904 0.3904 0.7807
Tc: 0.6096 0.6096 0.2193
Ga: 0.0000 0.0000 0.0000

No. 3
## Ti3GaSi (SCAN)

Data for a PBEsol-optimized structure of Ti3GaSi.

Results
- total magnetic moment (Bohr magnetons per cell) = 0.001
- volume (A^3/atom) = 18.713
- symmetry = No. 221
- formation energy without anion corrections (eV/atom) = 0.124

abc: 4.5398 4.5398 4.5398
angles: 90.00 90.00 90.00
Fractional coordinates of all 5 atoms:
Si: 0.0000 0.0000 0.0000
Ga: 0.5000 0.5000 0.5000
Ti: 0.0000 0.5000 0.0000
Ti: 0.0000 0.0000 0.5000
Ti: 0.5000 0.0000 0.0000

No. 4
## TlGaSi3 (SCAN)

Data for a PBEsol-optimized structure of TlGaSi3.

Results
- total magnetic moment (Bohr magnetons per cell) = 0.000
- volume (A^3/atom) = 21.935
- symmetry = No. 221
- formation energy without anion corrections (eV/atom) = 1.029

abc: 4.7867 4.7867 4.7867
angles: 90.00 90.00 90.00
Fractional coordinates of all 5 atoms:
Tl: 0.5000 0.5000 0.5000
Si: 0.0000 0.5000 0.0000
Si: 0.0000 0.0000 0.5000
Si: 0.5000 0.0000 0.0000
Ga: 0.0000 0.0000 0.0000

No. 5
## TlGaSi2 (SCAN)

Data for a PBEsol-optimized structure of TlGaSi2.

Results
- total magnetic moment (Bohr magnetons per cell) = 0.000
- volume (A^3/atom) = 24.516
- symmetry = No. 122
- formation energy without anion corrections (eV/atom) = 0.513

abc: 5.8507 5.8507 7.0671
angles: 114.45 114.45 90.00
Fractional coordinates of all 8 atoms:
Tl: 0.2500 0.7500 0.5000
Tl: 0.0000 0.0000 0.0000
Si: 0.4110 0.8750 0.2500
Si: 0.8390 0.3750 0.2500
Si: 0.1250 0.1610 0.7500
Si: 0.6250 0.5890 0.7500
Ga: 0.7500 0.2500 0.5000
Ga: 0.5000 0.5000 0.0000

No. 6
## TlGaSi2 (SCAN)

Data for a PBEsol-optimized structure of TlGaSi2.

Results
- total magnetic moment (Bohr magnetons per cell) = 0.000
- volume (A^3/atom) = 19.381
- symmetry = No. 225
- formation energy without anion corrections (eV/atom) = 0.771

abc: 4.7861 4.7861 4.7861
angles: 60.00 60.00 60.00
Fractional coordinates of all 4 atoms:
Tl: 0.5000 0.5000 0.5000
Si: 0.2500 0.2500 0.2500
Si: 0.7500 0.7500 0.7500
Ga: 0.0000 0.0000 0.0000

No. 7
## YZnGa2Si (SCAN)

Data for a PBEsol-optimized structure of YZnGa2Si.

Results
- total magnetic moment (Bohr magnetons per cell) = 0.000
- volume (A^3/atom) = 23.166
- symmetry = No. 123
- formation energy without anion corrections (eV/atom) = 0.241

abc: 4.6582 4.6582 5.3381
angles: 90.00 90.00 90.00
Fractional coordinates of all 5 atoms:
Y: 0.0000 0.0000 0.5000
Zn: 0.5000 0.5000 0.5000
Si: 0.0000 0.0000 0.0000
Ga: 0.0000 0.5000 0.0000
Ga: 0.5000 0.0000 0.0000

No. 8
## ZrGaSi3 (SCAN)

Data for a PBEsol-optimized structure of ZrGaSi3.

Results
- total magnetic moment (Bohr magnetons per cell) = 0.000
- volume (A^3/atom) = 25.391
- symmetry = No. 221
- formation energy without anion corrections (eV/atom) = 0.878

abc: 5.0259 5.0259 5.0259
angles: 90.00 90.00 90.00
Fractional coordinates of all 5 atoms:
Si: 0.0000 0.5000 0.0000
Si: 0.0000 0.0000 0.5000
Si: 0.5000 0.0000 0.0000
Ga: 0.5000 0.5000 0.5000
Zr: 0.0000 0.0000 0.0000

No. 9
## ZrGaSi3 (SCAN)

Data for a PBEsol-optimized structure of ZrGaSi3.

Results
- total magnetic moment (Bohr magnetons per cell) = 0.000
- volume (A^3/atom) = 19.670
- symmetry = No. 221
- formation energy without anion corrections (eV/atom) = 0.958

abc: 4.6159 4.6159 4.6159
angles: 90.00 90.00 90.00
Fractional coordinates of all 5 atoms:
Si: 0.0000 0.5000 0.0000
Si: 0.0000 0.0000 0.5000
Si: 0.5000 0.0000 0.0000
Ga: 0.0000 0.0000 0.0000
Zr: 0.5000 0.5000 0.5000

No. 10
## Sm9Ga4 (SCAN)

Data for a PBEsol-optimized structure of Sm9Ga4.

Results
- total magnetic moment (Bohr magnetons per cell) = 0.000
- volume (A^3/atom) = 26.457
- symmetry = No. 87
- formation energy (eV/atom) = -0.46

abc: 5.0170 8.6515 8.6515
angles: 85.18 73.14 73.14
Fractional coordinates of all 13 atoms:
Sm: 0.5000 0.0000 0.0000
Sm: 0.1247 0.4711 0.2796
Sm: 0.5958 0.2796 0.5289
Sm: 0.4042 0.7204 0.4711
Sm: 0.8753 0.5289 0.7204
Sm: 0.1856 0.7064 0.9224
Sm: 0.8920 0.9224 0.2936
Sm: 0.1080 0.0776 0.7064
Sm: 0.8144 0.2936 0.0776
Ga: 0.3870 0.3445 0.8815
Ga: 0.7315 0.8815 0.6555
Ga: 0.2685 0.1185 0.3445
Ga: 0.6130 0.6555 0.1185

No. 11
## Sm3Ga2 (SCAN)

Data for a PBEsol-optimized structure of Sm3Ga2.

Results
- total magnetic moment (Bohr magnetons per cell) = 0.000
- volume (A^3/atom) = 25.422
- symmetry = No. 140
- formation energy (eV/atom) = -0.60

abc: 11.1424 11.1424 11.1424
angles: 84.87 62.92 117.08
Fractional coordinates of all 40 atoms:
Sm: 0.5000 0.8496 0.6504
Sm: 0.5000 0.3496 0.1504
Sm: 0.5000 0.1504 0.3496
Sm: 0.5000 0.6504 0.8496
Sm: 0.8343 0.6672 0.8328
Sm: 0.1657 0.3328 0.1672
Sm: 0.5000 0.1672 0.6672
Sm: 0.5000 0.8328 0.3328
Sm: 0.2669 0.3336 0.7993
Sm: 0.7331 0.9338 0.9332
Sm: 0.1329 0.8336 0.4332
Sm: 0.8671 0.4338 0.2993
Sm: 0.1329 0.0668 0.6664
Sm: 0.8671 0.2007 0.0662
Sm: 0.2669 0.7007 0.1664
Sm: 0.7331 0.5668 0.5662
Sm: 0.7331 0.6664 0.2007
Sm: 0.2669 0.0662 0.0668
Sm: 0.8671 0.1664 0.5668
Sm: 0.1329 0.5662 0.7007
Sm: 0.8671 0.9332 0.3336
Sm: 0.1329 0.7993 0.9338
Sm: 0.7331 0.2993 0.8336
Sm: 0.2669 0.4332 0.4338
Ga: 0.0000 0.2500 0.7500
Ga: 0.0000 0.7500 0.2500
Ga: 0.0000 0.0000 0.0000
Ga: 0.0000 0.5000 0.5000
Ga: 0.7297 0.1148 0.3852
Ga: 0.2703 0.8852 0.6148
Ga: 0.5000 0.6148 0.1148
Ga: 0.5000 0.3852 0.8852
Ga: 0.8582 0.4757 0.0243
Ga: 0.1418 0.1175 0.3825
Ga: 0.5000 0.9757 0.8825
Ga: 0.5000 0.6175 0.5243
Ga: 0.1418 0.5243 0.9757
Ga: 0.8582 0.8825 0.6175
Ga: 0.5000 0.0243 0.1175
Ga: 0.5000 0.3825 0.4757

No. 12
## Sm5Ga3 (SCAN)

Data for a PBEsol-optimized structure of Sm5Ga3.

Results
- total magnetic moment (Bohr magnetons per cell) = 0.000
- volume (A^3/atom) = 25.913
- symmetry = No. 130
- formation energy (eV/atom) = -0.57

abc: 7.6411 7.6411 14.2025
angles: 90.00 90.00 90.00
Fractional coordinates of all 32 atoms:
Sm: 0.3424 0.3145 0.8973
Sm: 0.8424 0.1855 0.6027
Sm: 0.8145 0.1576 0.8973
Sm: 0.1855 0.8424 0.8973
Sm: 0.5000 0.0000 0.2205
Sm: 0.0000 0.5000 0.2795
Sm: 0.0000 0.5000 0.7795
Sm: 0.5000 0.0000 0.7205
Sm: 0.6576 0.6855 0.8973
Sm: 0.3145 0.3424 0.6027
Sm: 0.6855 0.6576 0.6027
Sm: 0.1576 0.8145 0.6027
Sm: 0.3145 0.6576 0.1027
Sm: 0.6855 0.3424 0.1027
Sm: 0.6576 0.3145 0.3973
Sm: 0.1576 0.1855 0.1027
Sm: 0.8424 0.8145 0.1027
Sm: 0.1855 0.1576 0.3973
Sm: 0.8145 0.8424 0.3973
Sm: 0.3424 0.6855 0.3973
Ga: 0.8801 0.8801 0.7500
Ga: 0.6199 0.3801 0.7500
Ga: 0.3801 0.6199 0.7500
Ga: 0.1199 0.1199 0.7500
Ga: 0.6199 0.6199 0.2500
Ga: 0.8801 0.1199 0.2500
Ga: 0.1199 0.8801 0.2500
Ga: 0.3801 0.3801 0.2500
Ga: 0.0000 0.5000 0.9939
Ga: 0.5000 0.0000 0.5061
Ga: 0.5000 0.0000 0.0061
Ga: 0.0000 0.5000 0.4939

- Number 8 is which compound?
  ZrGaSi3

Please write out number 1 again, unchanged.
## GaSi2Sn (SCAN)

Data for a PBEsol-optimized structure of GaSi2Sn.

Results
- total magnetic moment (Bohr magnetons per cell) = 0.000
- volume (A^3/atom) = 24.051
- symmetry = No. 122
- formation energy without anion corrections (eV/atom) = 0.266

abc: 5.7638 5.7638 7.0820
angles: 114.01 114.01 90.00
Fractional coordinates of all 8 atoms:
Si: 0.4020 0.8750 0.2500
Si: 0.8480 0.3750 0.2500
Si: 0.1250 0.1520 0.7500
Si: 0.6250 0.5980 0.7500
Sn: 0.2500 0.7500 0.5000
Sn: 0.0000 0.0000 0.0000
Ga: 0.7500 0.2500 0.5000
Ga: 0.5000 0.5000 0.0000

Copy entry 5 word for word.
## TlGaSi2 (SCAN)

Data for a PBEsol-optimized structure of TlGaSi2.

Results
- total magnetic moment (Bohr magnetons per cell) = 0.000
- volume (A^3/atom) = 24.516
- symmetry = No. 122
- formation energy without anion corrections (eV/atom) = 0.513

abc: 5.8507 5.8507 7.0671
angles: 114.45 114.45 90.00
Fractional coordinates of all 8 atoms:
Tl: 0.2500 0.7500 0.5000
Tl: 0.0000 0.0000 0.0000
Si: 0.4110 0.8750 0.2500
Si: 0.8390 0.3750 0.2500
Si: 0.1250 0.1610 0.7500
Si: 0.6250 0.5890 0.7500
Ga: 0.7500 0.2500 0.5000
Ga: 0.5000 0.5000 0.0000

Copy entry 1 word for word.
## GaSi2Sn (SCAN)

Data for a PBEsol-optimized structure of GaSi2Sn.

Results
- total magnetic moment (Bohr magnetons per cell) = 0.000
- volume (A^3/atom) = 24.051
- symmetry = No. 122
- formation energy without anion corrections (eV/atom) = 0.266

abc: 5.7638 5.7638 7.0820
angles: 114.01 114.01 90.00
Fractional coordinates of all 8 atoms:
Si: 0.4020 0.8750 0.2500
Si: 0.8480 0.3750 0.2500
Si: 0.1250 0.1520 0.7500
Si: 0.6250 0.5980 0.7500
Sn: 0.2500 0.7500 0.5000
Sn: 0.0000 0.0000 0.0000
Ga: 0.7500 0.2500 0.5000
Ga: 0.5000 0.5000 0.0000